Compound: GdFe2BiO6
Source: Alexandria via LeMat-Bulk
Functional: GGA+U
Structure: optimized geometry

abc: 5.449 5.700 7.841
angles: 90.00 90.00 90.00
Site moments in Bohr magnetons follow the coordinates.
Sites, in units of the cell vectors:
Gd 0.234 0.436 0.500  6.95
Gd 0.766 0.936 0.500  6.95
Fe 0.250 0.996 0.747  4.36
Fe 0.750 0.496 0.253  4.36
Fe 0.250 0.996 0.253  4.36
Fe 0.750 0.496 0.747  4.36
Bi 0.261 0.548 0.000  0.02
Bi 0.739 0.048 0.000  0.02
O 0.562 0.807 0.794  0.17
O 0.438 0.307 0.206  0.17
O 0.949 0.201 0.309  0.18
O 0.051 0.701 0.691  0.18
O 0.949 0.201 0.691  0.18
O 0.051 0.701 0.309  0.18
O 0.562 0.807 0.206  0.17
O 0.438 0.307 0.794  0.17
O 0.150 0.971 0.000  0.16
O 0.850 0.471 0.000  0.16
O 0.357 0.037 0.500  0.18
O 0.643 0.537 0.500  0.18

Summary:
Density of states at the Fermi level in states/eV/f.u.: 0.000
Space-group type: No. 26
Calculated total energy in eV for the cell shown: -156.2